No. 1
# SiSbOs2 | Alexandria | GGA-PBEsol | optimized geometry
data_SiSbOs2
_chemical_formula_sum 'Si1 Sb1 Os2'
_cell_length_a 2.906
_cell_length_b 2.906
_cell_length_c 7.723
_cell_angle_alpha 90.00
_cell_angle_beta 90.00
_cell_angle_gamma 90.00
_symmetry_space_group_name_H-M 'P 4 m m'
_symmetry_Int_Tables_number 99
_symmetry_space_group_name_Hall 'P 4 -2'
loop_
_atom_site_label
_atom_site_type_symbol
_atom_site_fract_x
_atom_site_fract_y
_atom_site_fract_z
Si1 Si 0.000 0.000 0.000
Sb1 Sb 0.500 0.500 0.667
Os1 Os 0.000 0.000 0.420
Os2 Os 0.500 0.500 0.189
# * raw formation energy: 1.2 eV per formula unit
# * uncorrected energy: -8.391 eV/atom
# * distance to the lowest polymorph of the same formula: 19 meV/atom
# * calculated density: 13.5 g/cm³
# * total moment: 0.0000 μB/atom


No. 2
# BeTl2Pt | Alexandria | GGA-PBEsol | optimized geometry
data_BeTl2Pt
_chemical_formula_sum 'Be2 Tl4 Pt2'
_cell_length_a 9.691
_cell_length_b 3.518
_cell_length_c 5.288
_cell_angle_alpha 90.00
_cell_angle_beta 111.26
_cell_angle_gamma 90.00
_symmetry_space_group_name_H-M 'C 1 m 1'
_symmetry_Int_Tables_number 8
_symmetry_space_group_name_Hall 'C -2y'
loop_
_atom_site_label
_atom_site_type_symbol
_atom_site_fract_x
_atom_site_fract_y
_atom_site_fract_z
Be1 Be 0.000 0.000 0.000
Tl1 Tl 0.215 0.500 0.780
Tl2 Tl 0.374 0.000 0.386
Pt1 Pt 0.115 0.500 0.210
# * uncorrected energy: -3.960 eV/atom
# * distance to the lowest polymorph of the same formula: 0 meV/atom
# * calculated density: 12.1 g/cm³
# * total moment: 0.0000 μB/atom


No. 3
# Ba2Mg3 | Alexandria | GGA-PBEsol | optimized geometry
data_Ba2Mg3
_chemical_formula_sum 'Ba16 Mg24'
_cell_length_a 11.410
_cell_length_b 19.337
_cell_length_c 6.789
_cell_angle_alpha 90.00
_cell_angle_beta 90.00
_cell_angle_gamma 90.00
_symmetry_space_group_name_H-M 'F d d 2'
_symmetry_Int_Tables_number 43
_symmetry_space_group_name_Hall 'F 2 -2d'
loop_
_atom_site_label
_atom_site_type_symbol
_atom_site_fract_x
_atom_site_fract_y
_atom_site_fract_z
Ba1 Ba 0.082 0.297 0.000
Mg1 Mg 0.000 0.000 0.263
Mg2 Mg 0.081 0.375 0.502
# * uncorrected energy: -1.914 eV/atom
# * distance to the lowest polymorph of the same formula: 0 meV/atom
# * calculated density: 3.1 g/cm³
# * total moment: 0.0001 μB/atom